Below is a geometry-optimized Sm6GeAs3Se2 structure, with properties calculated at the PBE level.

Results
The final energy is -6.06 eV/atom. Its calculated volume is 317.1 Å³/cell.

abc: 4.207 8.441 9.410
angles: 102.86 102.92 90.00
Element x y z (fractional)
1 Sm 0.664 0.590 0.327
2 Sm 0.336 0.410 0.673
3 Sm 0.335 0.923 0.669
4 Sm 0.665 0.077 0.331
5 As 0.168 0.833 0.337
6 Sm 0.999 0.247 0.998
7 Sm 0.001 0.753 0.002
8 Se 0.832 0.663 0.664
9 Se 0.168 0.337 0.336
10 Ge 0.500 0.000 0.000
11 As 0.832 0.167 0.663
12 As 0.500 0.500 0.000